Material: Nd2DyEr9
Method: DFT, PBE-GGA
State: relaxed

The structure belongs to space group P6/mmm (No. 191); the cell edges are 11.2048, 11.2048 and 3.4884 Å and the angles 90.00°, 90.00° and 120.00°. Symmetry generates all atoms from Nd at (0.3333, 0.6667, 0.0000), Dy at (0.0000, 0.0000, 0.0000), Er at (0.0000, 0.5000, 0.0000) and Er at (0.1744, 0.3487, 0.5000).

The energy relative to the lowest polymorph listed for this composition is 0.57 eV/f.u. For the energy relative to the elements, the calculation gives 72 meV per atom. As for the crystal system: hexagonal.

---

Material: CuPSO
Method: DFT, PBE-GGA
State: relaxed

The structure belongs to space group P1 (No. 1); the cell edges are 3.137, 4.943 and 5.012 Å and the angles 110.50°, 90.04° and 90.47°. Symmetry generates all atoms from Cu at (0.000, 0.000, 0.000), P at (0.004, 0.165, 0.656), S at (0.509, 0.477, 0.686) and O at (0.001, 0.941, 0.351).

The energy relative to the lowest polymorph listed for this composition is 0.22 eV/f.u. The value obtained for the uncorrected formation energy is -623 meV/atom. As for the crystal system: triclinic.

---

Material: KGe
Method: DFT, PBE-GGA
State: relaxed

The structure belongs to space group P2_1/m (No. 11); the cell edges are 5.382, 4.061 and 6.779 Å and the angles 90.00°, 113.41° and 90.00°. Symmetry generates all atoms from K at (0.147, 0.250, 0.294) and Ge at (0.442, 0.250, 0.883).

The energy relative to the lowest polymorph listed for this composition is 0.16 eV/f.u. For the energy relative to the elements, the calculation gives -134 meV per atom. As for the crystal system: monoclinic.

---

Material: Mn2AsBr
Method: DFT, PBE-GGA
State: relaxed

The structure belongs to space group I-4m2 (No. 119); the cell edges are 3.659, 3.659 and 13.179 Å and the angles 90.00°, 90.00° and 90.00°. Symmetry generates all atoms from Mn at (0.000, 0.000, 0.000), Mn at (0.000, 0.500, 0.250), As at (0.000, 0.500, 0.750) and Br at (0.000, 0.000, 0.500).

The energy relative to the lowest polymorph listed for this composition is 1.58 eV/f.u. The value obtained for the uncorrected formation energy is 321 meV/atom. As for the crystal system: tetragonal.

---

Material: ThScHg
Method: DFT, PBE-GGA
State: relaxed

The structure belongs to space group P-6m2 (No. 187); the cell edges are 5.0065, 5.0065 and 3.7461 Å and the angles 90.00°, 90.00° and 120.00°. Symmetry generates all atoms from Th at (0.0000, 0.0000, 0.0000), Sc at (0.6667, 0.3333, 0.5000) and Hg at (0.3333, 0.6667, 0.5000).

The energy relative to the lowest polymorph listed for this composition is 0.40 eV/f.u. For the energy relative to the elements, the calculation gives -88 meV per atom. As for the crystal system: hexagonal.

---

Material: K2MoSe
Method: DFT, PBE-GGA
State: relaxed

The structure belongs to space group P4/mmm (No. 123); the cell edges are 4.752, 4.752 and 5.118 Å and the angles 90.00°, 90.00° and 90.00°. Symmetry generates all atoms from K at (0.000, 0.500, 0.000), Mo at (0.000, 0.000, 0.500) and Se at (0.500, 0.500, 0.500).

The energy relative to the lowest polymorph listed for this composition is 1.44 eV/f.u. The value obtained for the uncorrected formation energy is 592 meV/atom. As for the crystal system: tetragonal.

---

Material: Cs2NaHg6
Method: DFT, PBE-GGA
State: relaxed

The structure belongs to space group P6/mmm (No. 191); the cell edges are 9.7298, 9.7298 and 4.0221 Å and the angles 90.00°, 90.00° and 120.00°. Symmetry generates all atoms from Cs at (0.3333, 0.6667, 0.0000), Na at (0.0000, 0.0000, 0.0000) and Hg at (0.0000, 0.3154, 0.5000).

For the energy relative to the elements, the calculation gives -214 meV per atom. As for the crystal system: hexagonal.

---

Material: Rb2Na6CdHg
Method: DFT, PBE-GGA
State: relaxed

The structure belongs to space group Pmmn (No. 59, origin choice 2); the cell edges are 9.303, 11.470 and 8.111 Å and the angles 90.00°, 90.00° and 90.00°. Symmetry generates all atoms from Rb at (0.250, 0.010, 0.243), Na at (0.047, 0.250, 0.910), Na at (0.053, 0.750, 0.565), Na at (0.250, 0.002, 0.739), Cd at (0.250, 0.750, 0.901) and Hg at (0.250, 0.250, 0.588).

For the energy relative to the elements, the calculation gives -36 meV per atom. As for the crystal system: orthorhombic.

---

Material: BaTl2Ru
Method: DFT, PBE-GGA
State: relaxed

The structure belongs to space group P4mm (No. 99); the cell edges are 3.720, 3.720 and 8.071 Å and the angles 90.00°, 90.00° and 90.00°. Symmetry generates all atoms from Ba at (0.000, 0.000, 0.000), Tl at (0.000, 0.000, 0.410), Tl at (0.500, 0.500, 0.661) and Ru at (0.500, 0.500, 0.285).

For the energy relative to the elements, the calculation gives 274 meV per atom. As for the crystal system: tetragonal.

---

Material: ThSi2
Method: DFT, PBE-GGA
State: relaxed

The structure belongs to space group I4_1/amd (No. 141, origin choice 2); the cell edges are 4.125, 4.125 and 14.474 Å and the angles 90.00°, 90.00° and 90.00°. Symmetry generates all atoms from Th at (0.000, 0.250, 0.375) and Si at (0.000, 0.250, 0.792).

The value obtained for the uncorrected formation energy is -611 meV/atom. As for the crystal system: tetragonal.

---

Material: Nd5SmHg2
Method: DFT, PBE-GGA
State: relaxed

The structure belongs to space group Immm (No. 71); the cell edges are 3.781, 10.772 and 12.457 Å and the angles 90.00°, 90.00° and 90.00°. Symmetry generates all atoms from Nd at (0.000, 0.000, 0.000), Nd at (0.000, 0.281, 0.361), Sm at (0.000, 0.500, 0.000) and Hg at (0.000, 0.000, 0.273).

For the energy relative to the elements, the calculation gives -159 meV per atom. As for the crystal system: orthorhombic.

---

Material: CdSn3Ru
Method: DFT, PBE-GGA
State: relaxed

The structure belongs to space group Pm-3m (No. 221); the cell edges are 5.168, 5.168 and 5.168 Å and the angles 90.00°, 90.00° and 90.00°. Symmetry generates all atoms from Cd at (0.000, 0.000, 0.000), Sn at (0.000, 0.500, 0.500) and Ru at (0.500, 0.500, 0.500).

The energy relative to the lowest polymorph listed for this composition is 0.00 eV/f.u. For the energy relative to the elements, the calculation gives 135 meV per atom. As for the crystal system: cubic.